[1]
DFT (PBE) results for GdY2Ag after structural relaxation.

a b c (Å): 3.748 5.440 5.440
angles (deg): 90.00 90.00 90.00
Positions (direct):
Y 0.000 0.000 0.500
Y 0.000 0.500 0.000
Gd 0.500 0.500 0.500
Ag 0.500 0.000 0.000

Properties
DOS(E_F), states/eV/f.u.: 6.3
Formation enthalpy at 0 K, eV per atom: 0.0106
Energy above the most stable polymorph in this dataset, meV/atom: 135.2
SG: P4/mmm
Size of the total moment, μB/cell: 7.51

---

[2]
DFT (PBE) results for GdY2Ag after structural relaxation.

a b c (Å): 3.451 3.451 11.625
angles (deg): 81.46 81.46 60.00
Positions (direct):
Y 0.097 0.097 0.709
Y 0.903 0.903 0.291
Gd 0.000 0.000 0.000
Ag 0.500 0.500 0.500

Properties
DOS(E_F), states/eV/f.u.: 5.5
Formation enthalpy at 0 K, eV per atom: 0.1799
Energy above the most stable polymorph in this dataset, meV/atom: 304.6
SG: R-3m
Size of the total moment, μB/cell: 8.13

---

[3]
DFT (PBE) results for GdYAg2 after structural relaxation.

a b c (Å): 3.636 5.189 5.189
angles (deg): 90.00 90.00 90.00
Positions (direct):
Y 0.500 0.500 0.500
Gd 0.500 0.000 0.000
Ag 0.000 0.000 0.500
Ag 0.000 0.500 0.000

Properties
DOS(E_F), states/eV/f.u.: 3.3
Formation enthalpy at 0 K, eV per atom: -0.3187
SG: P4/mmm
Size of the total moment, μB/cell: 7.14

---

[4]
DFT (PBE) results for GdY2Ag after structural relaxation.

a b c (Å): 3.597 3.597 8.839
angles (deg): 90.00 90.00 90.00
Positions (direct):
Y 0.000 0.000 0.789
Y 0.000 0.000 0.211
Gd 0.500 0.500 0.500
Ag 0.500 0.500 0.000

Properties
DOS(E_F), states/eV/f.u.: 6.2
Formation enthalpy at 0 K, eV per atom: -0.1247
Energy above the most stable polymorph in this dataset, meV/atom: 0.0
SG: P4/mmm
Size of the total moment, μB/cell: 7.82

---

[5]
DFT (PBE) results for GdYAg4 after structural relaxation.

a b c (Å): 5.721 5.721 5.721
angles (deg): 60.00 60.00 60.00
Positions (direct):
Y 0.250 0.250 0.250
Gd 0.000 0.000 0.000
Ag 0.625 0.625 0.125
Ag 0.625 0.125 0.625
Ag 0.625 0.625 0.625
Ag 0.125 0.625 0.625

Properties
DOS(E_F), states/eV/f.u.: 4.9
Formation enthalpy at 0 K, eV per atom: -0.1763
SG: F-43m
Size of the total moment, μB/cell: 7.16

---

[6]
DFT (PBE) results for GdYZnAg after structural relaxation.

a b c (Å): 5.137 5.137 5.137
angles (deg): 60.00 60.00 60.00
Positions (direct):
Y 0.500 0.500 0.500
Zn 0.750 0.750 0.750
Gd 0.000 0.000 0.000
Ag 0.250 0.250 0.250

Properties
DOS(E_F), states/eV/f.u.: 3.9
Formation enthalpy at 0 K, eV per atom: -0.3189
SG: F-43m
Size of the total moment, μB/cell: 7.16